ScAlHg2: optimized geometry, PBE-GGA.

Computed properties:
Total moment ... 0.35 μB/cell
Space-group type ... P4mm (99)
Calculated formation energy ... -0.145 eV/atom

Lattice parameters (Å, degrees): 3.2694 3.2694 7.9125 90.00 90.00 90.00
Site moments in Bohr magnetons follow the coordinates.
Sites, in units of the cell vectors:
Al 0.5000 0.5000 0.7458  -0.01
Hg 0.0000 0.0000 0.9787  0.00
Hg 0.5000 0.5000 0.2611  0.01
Sc 0.0000 0.0000 0.5143  0.23